No. 1
LiCd2Hg | SCAN | single point on PBEsol structure

```
LiCd2Hg
1.0
4.7891 0.0000 0.0000
2.3945 4.1475 0.0000
2.3945 1.3825 3.9103
Cd Hg Li
2 1 1
Cartesian
0.0000 0.0000 0.0000
7.1836 4.1475 2.9327
4.7891 2.7650 1.9551
2.3945 1.3825 0.9776
```

**Total moment**: 0.000 μB per atom
**Density of states at the Fermi level**: 0.22 states/eV/atom
**E_form**: -0.225 eV/atom

No. 2
LiCd2Hg | SCAN | single point on PBEsol structure

```
LiCd2Hg
1.0
-0.1751 4.5024 0.3510
-1.9249 0.2432 -4.0799
-2.3615 -2.6298 3.4587
Cd Hg Li
2 1 1
Cartesian
-2.7559 2.2443 -1.0673
-1.7057 -0.1285 0.7971
-0.0876 2.2512 0.1755
-0.9625 0.1216 -2.0400
```

**Total moment**: 0.000 μB per atom
**Density of states at the Fermi level**: 0.23 states/eV/atom
**E_form**: -0.217 eV/atom

No. 3
LiCd2Hg | SCAN | single point on PBEsol structure

```
LiCd2Hg
1.0
3.0746 0.0000 0.0274
0.0000 4.9209 0.0000
-0.3059 0.0000 5.2568
Cd Hg Li
2 1 1
Cartesian
2.0429 0.0000 3.9139
0.7258 0.0000 1.3702
1.5373 2.4604 0.0137
-0.1529 2.4604 2.6284
```

**Total moment**: 0.000 μB per atom
**Density of states at the Fermi level**: 0.26 states/eV/atom
**E_form**: -0.183 eV/atom

No. 4
LiCdHg | SCAN | single point on PBEsol structure

```
LiCdHg
1.0
-3.5369 -1.8791 -2.2952
-3.2158 -2.4019 2.2799
-4.2519 1.7275 0.4958
Cd Hg Li
1 1 1
Cartesian
-5.5023 -1.2767 0.2403
-2.7512 -0.6384 0.1201
0.0000 0.0000 0.0000
```

**Total moment**: 0.000 μB per atom
**Density of states at the Fermi level**: 0.43 states/eV/atom
**Polymorph energy (0 for the lowest one)**: 0.129 eV/atom
**E_form**: -0.183 eV/atom

No. 5
LiCd2Hg | SCAN | single point on PBEsol structure

```
LiCd2Hg
1.0
3.3850 0.0000 0.0000
0.0000 3.3850 0.0000
0.0000 0.0000 6.6605
Cd Hg Li
2 1 1
Cartesian
0.0000 0.0000 6.5277
1.6925 1.6925 1.6642
0.0000 0.0000 3.5335
1.6925 1.6925 4.9258
```

**Total moment**: 0.000 μB per atom
**Density of states at the Fermi level**: 0.22 states/eV/atom
**E_form**: -0.219 eV/atom

No. 6
Li2CdHg | SCAN | single point on PBEsol structure

```
Li2CdHg
1.0
-0.0816 1.7651 -2.7378
0.0206 -2.7401 -1.7673
-6.4807 -0.1223 0.1142
Cd Hg Li
1 1 2
Cartesian
-0.0305 -0.4875 -2.2525
-3.2709 -0.5486 -2.1954
-4.8101 -0.0908 0.0848
-1.6706 -0.0315 0.0294
```

**Total moment**: 0.000 μB per atom
**Density of states at the Fermi level**: 0.28 states/eV/atom
**Polymorph energy (0 for the lowest one)**: 0.009 eV/atom
**E_form**: -0.378 eV/atom

No. 7
Li2CdHg | SCAN | single point on PBEsol structure

```
Li2CdHg
1.0
3.0826 0.0000 0.0000
1.5413 2.6696 0.0000
1.5413 0.8899 9.2656
Cd Hg Li
1 1 2
Cartesian
3.0826 1.7797 4.6328
0.0000 0.0000 0.0000
1.5413 0.8899 2.2571
4.6239 2.6696 7.0086
```

**Total moment**: 0.000 μB per atom
**Density of states at the Fermi level**: 0.36 states/eV/atom
**Polymorph energy (0 for the lowest one)**: 0.144 eV/atom
**E_form**: -0.244 eV/atom

No. 8
LiCd2Hg | SCAN | single point on PBEsol structure

```
LiCd2Hg
1.0
-0.7320 -2.7365 -1.7570
4.7050 -0.0350 -1.9059
-0.1214 -2.7189 4.2853
Cd Hg Li
2 1 1
Cartesian
2.3525 -0.0175 -0.9529
-0.0607 -1.3594 2.1426
-0.3660 -1.3683 -0.8785
1.9258 -2.7452 0.3112
```

**Total moment**: 0.000 μB per atom
**Density of states at the Fermi level**: 0.31 states/eV/atom
**E_form**: -0.158 eV/atom

No. 9
Li2CdHg | SCAN | single point on PBEsol structure

```
Li2CdHg
1.0
4.6614 0.0000 0.0000
2.3307 4.0369 0.0000
2.3307 1.3456 3.8060
Cd Hg Li
1 1 2
Cartesian
4.6614 2.6913 1.9030
6.9921 4.0369 2.8545
0.0000 0.0000 0.0000
2.3307 1.3456 0.9515
```

**Total moment**: 0.000 μB per atom
**Density of states at the Fermi level**: 0.24 states/eV/atom
**Polymorph energy (0 for the lowest one)**: 0.000 eV/atom
**E_form**: -0.388 eV/atom

No. 10
Li2CdHg | SCAN | single point on PBEsol structure

```
Li2CdHg
1.0
4.1736 0.0000 0.0000
0.0000 4.1791 0.0000
-2.0868 -2.0895 4.0638
Cd Hg Li
1 1 2
Cartesian
0.0000 0.0000 4.0636
2.0868 0.0000 2.0309
0.0000 0.0000 0.0010
0.0000 2.0895 2.0312
```

**Total moment**: 0.000 μB per atom
**Density of states at the Fermi level**: 0.29 states/eV/atom
**Polymorph energy (0 for the lowest one)**: 0.006 eV/atom
**E_form**: -0.381 eV/atom

No. 11
LiCd2Hg | SCAN | single point on PBEsol structure

```
LiCd2Hg
1.0
3.1755 0.0000 0.0000
0.0000 3.8951 0.0000
0.0000 0.0000 6.2475
Cd Hg Li
2 1 1
Cartesian
0.0000 0.0000 6.1750
1.5878 1.9475 1.5497
0.0000 0.0000 3.2708
1.5878 1.9475 4.6233
```

**Total moment**: 0.000 μB per atom
**Density of states at the Fermi level**: 0.27 states/eV/atom
**E_form**: -0.213 eV/atom

No. 12
LiCdHg | SCAN | single point on PBEsol structure

```
LiCdHg
1.0
2.9879 0.0000 0.0000
0.0000 4.8357 0.0000
0.0000 -2.4178 4.1878
Cd Hg Li
1 1 1
Cartesian
2.4939 0.0000 0.0000
2.4873 0.0000 2.7919
0.9945 2.4178 1.3959
```

**Total moment**: 0.000 μB per atom
**Density of states at the Fermi level**: 0.28 states/eV/atom
**Polymorph energy (0 for the lowest one)**: 0.040 eV/atom
**E_form**: -0.272 eV/atom

No. 13
Li2CdHg | SCAN | single point on PBEsol structure

```
Li2CdHg
1.0
-0.1398 0.9790 -2.9885
2.3964 -2.8843 -1.0570
-4.7084 -3.5647 -0.9475
Cd Hg Li
1 1 2
Cartesian
-2.2621 -1.7126 -0.4552
-2.5387 -3.7289 -2.7607
-4.6474 -3.5185 -0.9352
-0.0662 -1.8570 -2.2631
```

**Total moment**: 0.000 μB per atom
**Density of states at the Fermi level**: 0.34 states/eV/atom
**Polymorph energy (0 for the lowest one)**: 0.084 eV/atom
**E_form**: -0.304 eV/atom

No. 14
LiCdHg2Ru | SCAN | single point on PBEsol structure

```
LiCdHg2Ru
1.0
-1.3664 2.1685 3.4620
-0.5026 -3.9139 2.2532
4.2799 0.3109 1.4946
Ru Li Hg Cd
1 1 2 1
Cartesian
-0.6832 1.0842 1.7310
0.0000 0.0000 0.0000
2.1400 0.1554 0.7473
-0.2513 -1.9570 1.1266
1.2055 -0.7173 3.6049
```

**Total moment**: 0.150 μB per atom
**Density of states at the Fermi level**: 0.59 states/eV/atom
**E_form**: 0.609 eV/atom

No. 15
MgCd2Hg | SCAN | single point on PBEsol structure

```
MgCd2Hg
1.0
-2.6345 1.1516 1.5135
-2.9635 -0.8715 -1.0076
-1.7021 -7.2836 6.0669
Mg Hg Cd
1 1 2
Cartesian
0.0000 0.0000 0.0000
-3.6500 -3.5018 3.2864
-1.8252 -1.7408 1.6351
-5.4748 -5.2628 4.9376
```

**Total moment**: 0.000 μB per atom
**Density of states at the Fermi level**: 0.34 states/eV/atom
**Polymorph energy (0 for the lowest one)**: 0.072 eV/atom
**E_form**: -0.054 eV/atom

No. 16
Mg2CdHg | SCAN | single point on PBEsol structure

```
Mg2CdHg
1.0
-3.0229 -1.3348 0.9263
0.2459 -2.7360 -3.1399
2.7718 -3.8180 3.5440
Mg Hg Cd
2 1 1
Cartesian
2.7175 -3.7431 3.4745
-0.6505 -3.0519 -0.1632
0.7428 -4.9710 1.6182
1.3429 -1.8497 1.7169
```

**Total moment**: 0.000 μB per atom
**Density of states at the Fermi level**: 0.35 states/eV/atom
**Polymorph energy (0 for the lowest one)**: 0.075 eV/atom
**E_form**: -0.192 eV/atom

No. 17
MgCd2Hg | SCAN | single point on PBEsol structure

```
MgCd2Hg
1.0
-1.1918 0.7000 4.0757
-3.7484 -1.9743 -0.7570
4.3080 -3.3188 -0.4425
Mg Hg Cd
1 1 2
Cartesian
0.0000 0.0000 0.0000
-2.4701 -0.6372 1.6594
0.3231 -1.6280 2.6463
-0.9552 -2.9652 0.2299
```

**Total moment**: 0.000 μB per atom
**Density of states at the Fermi level**: 0.31 states/eV/atom
**Polymorph energy (0 for the lowest one)**: 0.014 eV/atom
**E_form**: -0.112 eV/atom

No. 18
MgCd2Hg | SCAN | single point on PBEsol structure

```
MgCd2Hg
1.0
-1.2958 2.0986 2.0261
-2.8953 -3.2088 1.4719
4.4785 -2.6245 3.0878
Mg Hg Cd
1 1 2
Cartesian
1.1876 -2.5934 3.7633
1.3186 0.3369 3.3282
0.0435 0.0833 0.2670
-1.3188 -0.7751 2.7972
```

**Total moment**: 0.000 μB per atom
**Density of states at the Fermi level**: 0.31 states/eV/atom
**Polymorph energy (0 for the lowest one)**: 0.000 eV/atom
**E_form**: -0.126 eV/atom

No. 19
Mg2CdHg2 | SCAN | single point on PBEsol structure

```
Mg2CdHg2
1.0
-0.7084 -1.3667 -3.9604
4.0804 -1.1362 -0.3378
-3.1264 -4.5981 4.4254
Mg Hg Cd
2 2 1
Cartesian
1.3200 -3.4929 0.9693
-1.0744 -3.6081 -0.8421
-1.1337 -4.6038 1.7915
1.3792 -2.4972 -1.6643
0.0000 0.0000 0.0000
```

**Total moment**: 0.000 μB per atom
**Density of states at the Fermi level**: 0.41 states/eV/atom
**Polymorph energy (0 for the lowest one)**: 0.171 eV/atom
**E_form**: -0.085 eV/atom

No. 20
MgCd2Hg | SCAN | single point on PBEsol structure

```
MgCd2Hg
1.0
-3.3674 -2.0535 1.4472
-1.2860 -0.6702 -3.9431
7.6383 -7.5069 1.0229
Mg Hg Cd
2 2 4
Cartesian
0.9721 -5.4611 0.6111
-2.3267 -1.3618 -1.2479
2.0128 -4.7695 -2.0840
0.0000 0.0000 0.0000
-0.4933 -3.2422 -2.6454
-1.5043 -3.9158 0.0370
5.1414 -5.9736 0.4378
2.8260 -7.3295 -0.7753
```

**Total moment**: 0.000 μB per atom
**Density of states at the Fermi level**: 0.38 states/eV/atom
**Polymorph energy (0 for the lowest one)**: 0.073 eV/atom
**E_form**: -0.053 eV/atom

No. 21
Mg2CdHg | SCAN | single point on PBEsol structure

```
Mg2CdHg
1.0
3.4249 0.0000 0.0000
0.0000 4.8882 0.1757
0.0000 -0.4924 4.8665
Mg Hg Cd
2 1 1
Cartesian
0.0000 2.4441 0.0879
0.0000 -0.2462 2.4333
1.7125 2.1979 2.5211
1.7125 0.0000 0.0000
```

**Total moment**: 0.000 μB per atom
**Density of states at the Fermi level**: 0.33 states/eV/atom
**Polymorph energy (0 for the lowest one)**: 0.005 eV/atom
**E_form**: -0.262 eV/atom

No. 22
Mg2CdHg | SCAN | single point on PBEsol structure

```
Mg2CdHg
1.0
3.2394 0.0000 0.0000
-1.6197 4.7119 0.0220
0.0000 -1.1462 5.5953
Mg Hg Cd
2 1 1
Cartesian
1.6197 1.5114 4.2308
0.0000 2.0543 1.3865
1.6197 0.0000 0.0000
0.0000 -0.5731 2.7977
```

**Total moment**: 0.000 μB per atom
**Density of states at the Fermi level**: 0.38 states/eV/atom
**Polymorph energy (0 for the lowest one)**: 0.084 eV/atom
**E_form**: -0.183 eV/atom

No. 23
Mg2CdHg2 | SCAN | single point on PBEsol structure

```
Mg2CdHg2
1.0
3.5499 0.0000 0.0000
0.0000 7.7536 0.0000
0.0000 0.0000 7.7536
Mg Hg Cd
4 4 2
Cartesian
1.7749 1.2337 5.1105
1.7749 5.1105 6.5200
1.7749 6.5200 2.6431
1.7749 2.6431 1.2337
0.0000 2.7866 6.6634
0.0000 6.6634 4.9670
0.0000 4.9670 1.0902
0.0000 1.0902 2.7866
0.0000 0.0000 0.0000
0.0000 3.8768 3.8768
```

**Total moment**: 0.000 μB per atom
**Density of states at the Fermi level**: 0.25 states/eV/atom
**Polymorph energy (0 for the lowest one)**: 0.000 eV/atom
**E_form**: -0.256 eV/atom

No. 24
MgCd2Hg | SCAN | single point on PBEsol structure

```
MgCd2Hg
1.0
3.1254 0.0000 0.0000
0.0000 3.1254 0.0000
0.0000 0.0000 8.6814
Mg Hg Cd
1 1 2
Cartesian
1.5627 1.5627 4.3407
1.5627 1.5627 0.0000
0.0000 0.0000 6.4686
0.0000 0.0000 2.2128
```

**Total moment**: 0.000 μB per atom
**Density of states at the Fermi level**: 0.36 states/eV/atom
**Polymorph energy (0 for the lowest one)**: 0.057 eV/atom
**E_form**: -0.069 eV/atom

No. 25
MgCd2Hg | SCAN | single point on PBEsol structure

```
MgCd2Hg
1.0
-4.2736 1.2661 -2.0533
-2.0199 -2.8701 -3.4301
-4.0643 -2.5541 1.0200
Mg Hg Cd
1 1 2
Cartesian
-2.5895 -1.0395 -1.1159
-5.1789 -2.0791 -2.2317
0.0000 0.0000 0.0000
-7.7684 -3.1186 -3.3476
```

**Total moment**: 0.000 μB per atom
**Density of states at the Fermi level**: 0.33 states/eV/atom
**Polymorph energy (0 for the lowest one)**: 0.041 eV/atom
**E_form**: -0.085 eV/atom

No. 26
Mg4CdHg | SCAN | single point on PBEsol structure

```
Mg4CdHg
1.0
5.7400 0.0000 0.0000
2.8700 4.9710 0.0000
2.8700 1.6570 4.6867
Cd Hg Mg
1 1 4
Cartesian
8.6100 4.9710 3.5150
0.0000 0.0000 0.0000
7.1742 2.4860 1.7579
4.3059 2.4860 1.7579
5.7400 3.3140 4.0999
5.7400 4.9700 1.7579
```

**Total moment**: 0.000 μB per atom
**Density of states at the Fermi level**: 0.37 states/eV/atom
**E_form**: 0.063 eV/atom

No. 27
MgCd2Hg | SCAN | single point on PBEsol structure

```
MgCd2Hg
1.0
3.2110 -0.0221 0.0000
-0.2332 5.0577 0.0000
0.0000 0.0000 5.2723
Mg Hg Cd
1 1 2
Cartesian
1.4889 2.5178 2.6361
0.0000 0.0000 2.6361
0.6797 1.2846 0.0000
2.2981 3.7509 0.0000
```

**Total moment**: 0.000 μB per atom
**Density of states at the Fermi level**: 0.29 states/eV/atom
**Polymorph energy (0 for the lowest one)**: 0.009 eV/atom
**E_form**: -0.118 eV/atom

No. 28
MgCd2Hg | SCAN | single point on PBEsol structure

```
MgCd2Hg
1.0
-2.6015 -1.8498 1.2629
3.1177 -2.8741 2.2126
-0.4043 5.4220 2.4433
Mg Hg Cd
1 1 2
Cartesian
1.5589 -1.4371 1.1063
-1.3007 -0.9249 0.6314
0.1848 -0.8266 3.8355
-0.0728 1.5247 2.0832
```

**Total moment**: 0.000 μB per atom
**Density of states at the Fermi level**: 0.33 states/eV/atom
**Polymorph energy (0 for the lowest one)**: 0.029 eV/atom
**E_form**: -0.097 eV/atom

No. 29
MgCd2Hg | SCAN | single point on PBEsol structure

```
MgCd2Hg
1.0
-2.0772 2.8836 1.4355
2.6493 -2.4305 3.5991
3.1891 3.2272 -1.8680
Mg Hg Cd
1 1 2
Cartesian
3.1391 1.8853 0.7552
0.6195 3.1059 -0.2257
0.0295 0.0253 -0.0082
0.5292 1.7193 2.4289
```

**Total moment**: 0.000 μB per atom
**Density of states at the Fermi level**: 0.31 states/eV/atom
**Polymorph energy (0 for the lowest one)**: 0.003 eV/atom
**E_form**: -0.123 eV/atom

No. 30
MgCd2Hg | SCAN | single point on PBEsol structure

```
MgCd2Hg
1.0
-1.3107 -1.0333 -2.6879
-3.4913 -2.2536 2.8018
-0.6638 6.1131 -0.2808
Mg Hg Cd
1 1 2
Cartesian
-2.4010 -1.6435 0.0569
0.0000 0.0000 0.0000
-0.3319 3.0565 -0.1404
-2.7329 1.4131 -0.0835
```

**Total moment**: 0.000 μB per atom
**Density of states at the Fermi level**: 0.31 states/eV/atom
**Polymorph energy (0 for the lowest one)**: 0.010 eV/atom
**E_form**: -0.116 eV/atom